[1]
First-principles (PBE) data for an optimized crystal structure of MgAl12Zn3, as listed in Alexandria.

Calculated formation energy: 33.9 kJ/mol of formula units
E: -0.1148 Ha/atom

a = 4.1339 Å, b = 4.1339 Å, c = 15.6058 Å
α = 90.00°, β = 90.00°, γ = 90.00°
Space group P4/mmm (No. 123)
Unique sites:
1 Mg 0.0000 0.0000 0.0000
2 Al 0.0000 0.5000 0.1307
3 Al 0.0000 0.5000 0.3763
4 Al 0.5000 0.5000 0.0000
5 Al 0.5000 0.5000 0.2544
6 Al 0.5000 0.5000 0.5000
7 Zn 0.0000 0.0000 0.2534
8 Zn 0.0000 0.0000 0.5000

[2]
First-principles (PBE) data for an optimized crystal structure of Tm4Sb5H, as listed in Alexandria.

E: -0.1665 Ha/atom

a = 18.6582 Å, b = 3.3798 Å, c = 8.6603 Å
α = 90.00°, β = 96.56°, γ = 90.00°
Space group C2/m (No. 12)
Unique sites:
1 Tm 0.0116 0.0000 0.3069
2 Tm 0.1673 0.5000 0.5950
3 Sb 0.0000 0.5000 0.0000
4 Sb 0.1421 0.0000 0.8824
5 Sb 0.1725 0.0000 0.2959
6 H 0.0000 0.5000 0.5000

[3]
First-principles (PBE) data for an optimized crystal structure of Tb6Bi3SbTe2, as listed in Alexandria.

ΔE_f (raw): -1.094 eV/atom
E: -0.1928 Ha/atom

a = 19.3558 Å, b = 4.4455 Å, c = 8.8671 Å
α = 90.00°, β = 103.18°, γ = 90.00°
Space group C2/m (No. 12)
Unique sites:
1 Tb 0.0009 0.0000 0.2561
2 Tb 0.1635 0.5000 0.5795
3 Tb 0.1649 0.5000 0.0846
4 Bi 0.0000 0.5000 0.0000
5 Bi 0.1685 0.0000 0.3333
6 Sb 0.0000 0.5000 0.5000
7 Te 0.1672 0.0000 0.8343

[4]
First-principles (PBE) data for an optimized crystal structure of PrVB14, as listed in Alexandria.

Calculated formation energy: -285.7 kJ/mol of formula units
E: -0.2534 Ha/atom

a = 5.8462 Å, b = 10.8657 Å, c = 8.2821 Å
α = 90.00°, β = 90.00°, γ = 90.00°
Space group Imma (No. 74)
Unique sites:
1 Pr 0.0000 0.2500 0.1314
2 V 0.2500 0.2500 0.7500
3 B 0.0000 0.0839 0.6677
4 B 0.0000 0.1262 0.8666
5 B 0.0000 0.1670 0.4708
6 B 0.1606 0.0609 0.3395
7 B 0.2487 0.0775 0.5496

[5]
First-principles (PBE) data for an optimized crystal structure of HoFe4Au, as listed in Alexandria.

Calculated formation energy: -60.3 kJ/mol of formula units
E: -0.2593 Ha/atom

a = 7.1007 Å, b = 7.1007 Å, c = 7.1007 Å
α = 90.00°, β = 90.00°, γ = 90.00°
Space group F-43m (No. 216)
Unique sites:
1 Ho 0.0000 0.0000 0.0000
2 Fe 0.1253 0.1253 0.3747
3 Au 0.2500 0.2500 0.7500

[6]
First-principles (PBE) data for an optimized crystal structure of Sr4LiPb3, as listed in Alexandria.

Calculated formation energy: -340.9 kJ/mol of formula units
E: -0.1070 Ha/atom

a = 5.8103 Å, b = 5.8103 Å, c = 28.6855 Å
α = 90.00°, β = 90.00°, γ = 120.00°
Space group R-3m (No. 166, hexagonal axes)
Unique sites:
1 Sr 0.0000 0.0000 0.1207
2 Sr 0.0000 0.0000 0.3720
3 Li 0.0000 0.0000 0.5000
4 Pb 0.0000 0.0000 0.0000
5 Pb 0.0000 0.0000 0.2415

[7]
First-principles (PBE) data for an optimized crystal structure of NaCr2Ru2, as listed in Alexandria.

Calculated formation energy: 185.7 kJ/mol of formula units
E: -0.2734 Ha/atom

a = 7.4515 Å, b = 7.4515 Å, c = 2.6625 Å
α = 90.00°, β = 90.00°, γ = 90.00°
Space group P4/mbm (No. 127)
Unique sites:
1 Na 0.0000 0.0000 0.0000
2 Cr 0.1459 0.3541 0.5000
3 Ru 0.1428 0.6428 0.0000

[8]
First-principles (PBE) data for an optimized crystal structure of Be3AlN, as listed in Alexandria.

ΔE_f (raw): 1.974 eV/atom
E: -0.0983 Ha/atom

a = 4.3662 Å, b = 4.3662 Å, c = 4.3662 Å
α = 90.00°, β = 90.00°, γ = 90.00°
Space group Pm-3m (No. 221)
Unique sites:
1 Be 0.0000 0.0000 0.5000
2 Al 0.0000 0.0000 0.0000
3 N 0.5000 0.5000 0.5000

[9]
First-principles (PBE) data for an optimized crystal structure of NiPb2S, as listed in Alexandria.

ΔE_f (raw): 0.132 eV/atom
E: -0.1543 Ha/atom

a = 6.2885 Å, b = 6.2885 Å, c = 11.8316 Å
α = 90.00°, β = 90.00°, γ = 90.00°
Space group I-42d (No. 122)
Unique sites:
1 Ni 0.0000 0.0000 0.0000
2 Pb 0.2155 0.2500 0.1250
3 S 0.0000 0.0000 0.5000

[10]
First-principles (PBE) data for an optimized crystal structure of Sr3Ca2NpN6, as listed in Alexandria.

ΔE_f (raw): -0.871 eV/atom
E: -0.2523 Ha/atom

a = 6.1988 Å, b = 10.7484 Å, c = 6.2828 Å
α = 90.00°, β = 109.26°, γ = 90.00°
Space group C2/m (No. 12)
Unique sites:
1 Sr 0.0000 0.0000 0.0000
2 Sr 0.0000 0.3310 0.0000
3 Ca 0.0000 0.1666 0.5000
4 Np 0.0000 0.5000 0.5000
5 N 0.2136 0.5000 0.2935
6 N 0.2155 0.3560 0.7121

[11]
First-principles (PBE) data for an optimized crystal structure of KTb4ThS8, as listed in Alexandria.

ΔE_f (raw): -1.879 eV/atom
E: -0.2267 Ha/atom

a = 8.2253 Å, b = 8.2253 Å, c = 20.5040 Å
α = 90.00°, β = 90.00°, γ = 120.00°
Space group R3m (No. 160, hexagonal axes)
Unique sites:
1 K 0.0000 0.0000 0.0000
2 Tb 0.0000 0.0000 0.2556
3 Tb 0.1714 0.3429 0.4603
4 Th 0.0000 0.0000 0.6311
5 S 0.0000 0.0000 0.3865
6 S 0.0000 0.0000 0.8607
7 S 0.0417 0.5208 0.3840
8 S 0.1757 0.3514 0.2081

[12]
First-principles (PBE) data for an optimized crystal structure of BaHfAu3, as listed in Alexandria.

Calculated formation energy: 579.9 kJ/mol of formula units
E: -0.1154 Ha/atom

a = 5.7072 Å, b = 5.7072 Å, c = 5.7072 Å
α = 90.00°, β = 90.00°, γ = 90.00°
Space group Pm-3m (No. 221)
Unique sites:
1 Ba 0.0000 0.0000 0.0000
2 Hf 0.5000 0.5000 0.5000
3 Au 0.0000 0.0000 0.5000

[13]
First-principles (PBE) data for an optimized crystal structure of K3Na2Hg7, as listed in Alexandria.

Calculated formation energy: -259.6 kJ/mol of formula units
E: -0.0329 Ha/atom

a = 6.4546 Å, b = 6.4546 Å, c = 31.1072 Å
α = 90.00°, β = 90.00°, γ = 120.00°
Space group R-3m (No. 166, hexagonal axes)
Unique sites:
1 K 0.0000 0.0000 0.0000
2 K 0.0000 0.0000 0.1410
3 Na 0.0000 0.0000 0.3347
4 Hg 0.0000 0.0000 0.5000
5 Hg 0.0092 0.5046 0.9171

[14]
First-principles (PBE) data for an optimized crystal structure of CdCo2W, as listed in Alexandria.

Calculated formation energy: 276.0 kJ/mol of formula units
E: -0.2317 Ha/atom

a = 6.1236 Å, b = 6.1236 Å, c = 6.1236 Å
α = 90.00°, β = 90.00°, γ = 90.00°
Space group F-43m (No. 216)
Unique sites:
1 Cd 0.0000 0.0000 0.0000
2 Co 0.0000 0.0000 0.5000
3 Co 0.2500 0.2500 0.7500
4 W 0.2500 0.2500 0.2500

[15]
First-principles (PBE) data for an optimized crystal structure of PrMg2AlAg2, as listed in Alexandria.

Calculated formation energy: 25.7 kJ/mol of formula units
E: -0.1050 Ha/atom

a = 5.1682 Å, b = 5.1682 Å, c = 11.3753 Å
α = 90.00°, β = 90.00°, γ = 90.00°
Space group I4/mmm (No. 139)
Unique sites:
1 Pr 0.0000 0.0000 0.0000
2 Mg 0.0000 0.5000 0.2500
3 Al 0.0000 0.0000 0.5000
4 Ag 0.0000 0.0000 0.2846

[16]
First-principles (PBE) data for an optimized crystal structure of AgSe2Cl, as listed in Alexandria.

ΔE_f (raw): -0.063 eV/atom
E: -0.1095 Ha/atom

a = 3.7426 Å, b = 3.7426 Å, c = 7.9089 Å
α = 90.00°, β = 90.00°, γ = 90.00°
Space group P4/mmm (No. 123)
Unique sites:
1 Ag 0.0000 0.0000 0.0000
2 Se 0.0000 0.5000 0.5000
3 Cl 0.5000 0.5000 0.0000

[17]
First-principles (PBE) data for an optimized crystal structure of YC3, as listed in Alexandria.

Calculated formation energy: 201.3 kJ/mol of formula units
E: -0.2944 Ha/atom

a = 6.5912 Å, b = 4.9923 Å, c = 5.9932 Å
α = 90.00°, β = 90.00°, γ = 90.00°
Space group Pnma (No. 62)
Unique sites:
1 Y 0.1932 0.2500 0.1313
2 C 0.0616 0.1026 0.7437
3 C 0.1391 0.2500 0.5549

[18]
First-principles (PBE) data for an optimized crystal structure of Y5Tm6, as listed in Alexandria.

Calculated formation energy: 155.2 kJ/mol of formula units
E: -0.1922 Ha/atom

a = 8.9121 Å, b = 13.0342 Å, c = 6.2989 Å
α = 90.00°, β = 107.25°, γ = 90.00°
Space group C2/m (No. 12)
Unique sites:
1 Y 0.0000 0.0000 0.0000
2 Y 0.0000 0.1308 0.5000
3 Y 0.0000 0.2603 0.0000
4 Tm 0.1609 0.5000 0.1913
5 Tm 0.1772 0.3711 0.6735

[19]
First-principles (PBE) data for an optimized crystal structure of YScGe2, as listed in Alexandria.

Calculated formation energy: -322.1 kJ/mol of formula units
E: -0.2331 Ha/atom

a = 3.8912 Å, b = 4.1716 Å, c = 10.4567 Å
α = 90.00°, β = 90.00°, γ = 90.00°
Space group Amm2 (No. 38)
Unique sites:
1 Y 0.0000 0.0000 0.0000
2 Sc 0.5000 0.0000 0.7256
3 Ge 0.0000 0.0000 0.2740
4 Ge 0.5000 0.0000 0.4484

[20]
First-principles (PBE) data for an optimized crystal structure of TlHg2RhSe, as listed in Alexandria.

ΔE_f (raw): -0.007 eV/atom
E: -0.1017 Ha/atom

a = 5.3303 Å, b = 5.3303 Å, c = 4.8442 Å
α = 90.00°, β = 90.00°, γ = 90.00°
Space group P4/mmm (No. 123)
Unique sites:
1 Tl 0.0000 0.0000 0.0000
2 Hg 0.0000 0.5000 0.5000
3 Rh 0.5000 0.5000 0.5000
4 Se 0.5000 0.5000 0.0000